NpTlGe after structural relaxation, computed with GGA-PBE.

Geometry as CIF:
```
data_NpTlGe
_chemical_formula_sum 'Np4 Tl4 Ge4'
_cell_length_a 3.842
_cell_length_b 19.980
_cell_length_c 4.037
_cell_angle_alpha 90.00
_cell_angle_beta 90.00
_cell_angle_gamma 90.00
_symmetry_space_group_name_H-M 'C m c m'
_symmetry_Int_Tables_number 63
_symmetry_space_group_name_Hall '-C 2c 2'
loop_
_atom_site_label
_atom_site_type_symbol
_atom_site_fract_x
_atom_site_fract_y
_atom_site_fract_z
Np1 Np 0.000 0.034 0.250
Tl1 Tl 0.000 0.307 0.750
Ge1 Ge 0.000 0.422 0.250
```

magnetization = 0.00 μB/f.u.
final energy = -6.60 eV/atom
formation energy from the elements = 45 meV per atom